Here is a geometry-optimized NpMnNi2 structure from Alexandria. Energies are from PBE.

Properties
Electronic total energy (eV/cell): -33.764
Magnetization (μB per formula unit): 0.5

Cell lengths 3.7094, 3.7094, 4.0105 Å; angles 90.00, 90.00, 90.00 degrees
With the nearest neighbours (Å) after each atom.
Space group P4/mmm (No. 123)
One atom of each set of equivalent atoms:
Np: 0.0000 0.0000 0.0000 x1  4 Mn 2.62, 8 Ni 2.73
Mn: 0.5000 0.5000 0.0000 x1  4 Np 2.62, 8 Ni 2.73
Ni: 0.0000 0.5000 0.5000 x2  4 Ni 2.62, 4 Mn 2.73, 4 Np 2.73